# 1
# Zn2AsAu

An optimized crystal structure of Zn2AsAu (PBE, the Alexandria database).

It has space group P4/mmm (No. 123), with a = 4.1786 Å, b = 4.1786 Å, c = 3.9230 Å, α = 90.00°, β = 90.00° and γ = 90.00°. The asymmetric unit holds Zn at (0.0000, 0.5000, 0.0000), As at (0.0000, 0.0000, 0.5000) and Au at (0.5000, 0.5000, 0.5000).

The value obtained for the formation energy is 43 meV per atom. The density of states at the Fermi level comes out at 1.11 states/eV/f.u.

# 2
# Tb2HoScO6

An optimized crystal structure of Tb2HoScO6 (PBE, the Alexandria database).

It has space group R3 (No. 146, hexagonal axes), with a = 5.7181 Å, b = 5.7181 Å, c = 14.8914 Å, α = 90.00°, β = 90.00° and γ = 120.00°. The asymmetric unit holds Tb at (0.0000, 0.0000, 0.0000), Tb at (0.0000, 0.0000, 0.4980), Ho at (0.0000, 0.0000, 0.2186), Sc at (0.0000, 0.0000, 0.7143), O at (0.0483, 0.3519, 0.7778) and O at (0.0546, 0.6804, 0.2807).

The density of states at the Fermi level comes out at 0.00 states/eV/f.u. For the formation energy from raw total energies, the calculation gives -3395 kJ/mol of formula units.

# 3
# Ta3CrAu

An optimized crystal structure of Ta3CrAu (PBE, the Alexandria database).

It has space group Pm-3m (No. 221), with a = 4.5868 Å, b = 4.5868 Å, c = 4.5868 Å, α = 90.00°, β = 90.00° and γ = 90.00°. The asymmetric unit holds Ta at (0.0000, 0.0000, 0.5000), Cr at (0.0000, 0.0000, 0.0000) and Au at (0.5000, 0.5000, 0.5000).

The value obtained for the formation energy is 930 meV per atom. The density of states at the Fermi level comes out at 5.94 states/eV/f.u. The energy above the most stable polymorph in this dataset comes out at 0 meV per atom.

# 4
# TbSmDy5

An optimized crystal structure of TbSmDy5 (PBE, the Alexandria database).

It has space group C2/c (No. 15), with a = 11.7054 Å, b = 6.7502 Å, c = 12.1886 Å, α = 90.00°, β = 110.25° and γ = 90.00°. The asymmetric unit holds Tb at (0.2500, 0.2500, 0.0000), Sm at (0.0000, 0.0281, 0.2500), Dy at (0.0000, 0.4129, 0.7500), Dy at (0.0786, 0.2676, 0.5003) and Dy at (0.2192, 0.3644, 0.2471).

The value obtained for the formation energy is 191 meV per atom. The density of states at the Fermi level comes out at 8.31 states/eV/f.u. The energy above the most stable polymorph in this dataset comes out at 0 meV per atom.

# 5
# CsKSbCl6

An optimized crystal structure of CsKSbCl6 (PBE, the Alexandria database).

It has space group P312 (No. 149), with a = 7.6730 Å, b = 7.6730 Å, c = 7.2019 Å, α = 90.00°, β = 90.00° and γ = 120.00°. The asymmetric unit holds Cs at (0.0000, 0.0000, 0.0000), K at (0.3333, 0.6667, 0.5000), Sb at (0.6667, 0.3333, 0.5000) and Cl at (0.3992, 0.0590, 0.7052).

The density of states at the Fermi level comes out at 4.61 states/eV/f.u. For the formation energy from raw total energies, the calculation gives -1143 kJ/mol of formula units.

# 6
# PmPr2O

An optimized crystal structure of PmPr2O (PBE, the Alexandria database).

It has space group R-3m (No. 166, hexagonal axes), with a = 3.7073 Å, b = 3.7073 Å, c = 27.3643 Å, α = 90.00°, β = 90.00° and γ = 120.00°. The asymmetric unit holds Pm at (0.0000, 0.0000, 0.0000), Pr at (0.0000, 0.0000, 0.2190) and O at (0.0000, 0.0000, 0.5000).

The density of states at the Fermi level comes out at 5.00 states/eV/f.u. For the formation energy from raw total energies, the calculation gives -471 kJ/mol of formula units. The energy above the most stable polymorph in this dataset comes out at 0 meV per atom.

# 7
# InTcP

An optimized crystal structure of InTcP (PBE, the Alexandria database).

It has space group F-43m (No. 216), with a = 6.2593 Å, b = 6.2593 Å, c = 6.2593 Å, α = 90.00°, β = 90.00° and γ = 90.00°. The asymmetric unit holds In at (0.0000, 0.0000, 0.0000), Tc at (0.2500, 0.2500, 0.2500) and P at (0.2500, 0.2500, 0.7500).

The value obtained for the formation energy is 1184 meV per atom. The density of states at the Fermi level comes out at 3.33 states/eV/f.u. The energy above the most stable polymorph in this dataset comes out at 1373 meV per atom.

# 8
# Pr4HCBr2

An optimized crystal structure of Pr4HCBr2 (PBE, the Alexandria database).

It has space group P2/m (No. 10), with a = 6.6467 Å, b = 3.8606 Å, c = 7.7526 Å, α = 90.00°, β = 105.16° and γ = 90.00°. The asymmetric unit holds Pr at (0.2245, 0.0000, 0.1812), Pr at (0.2546, 0.5000, 0.8078), H at (0.5000, 0.0000, 0.0000), C at (0.0000, 0.5000, 0.0000), Br at (0.0000, 0.0000, 0.5000) and Br at (0.5000, 0.5000, 0.5000).

The density of states at the Fermi level comes out at 3.67 states/eV/f.u. The uncorrected energy comes out at -5.166 eV/atom.